Y2AgHg2: optimized geometry, PBE-GGA.

abc: 8.2897 8.2897 3.9213
angles: 90.00 90.00 90.00
Last column: nearest neighbours and their distance in Å.
Space group P4/mbm (No. 127)
Unique sites:
Y 0.1587 0.3413 0.0000  6 Hg 3.06-3.17, 2 Ag 3.12
Ag 0.0000 0.0000 0.0000  4 Y 3.12
Hg 0.1407 0.6407 0.5000  6 Y 3.06-3.17, 1 Hg 3.30

Properties
total DFT energy (no corrections)	-3.4413	eV/atom
formation energy from the elements	-0.1647	eV/atom
Fermi-level density of states	7.151	states/eV/cell
relative energy among the computed polymorphs	0.1994	eV per atom

=====

Y2AgHg: optimized geometry, PBE-GGA.

abc: 3.8828 3.8828 6.8360
angles: 90.00 90.00 90.00
Last column: nearest neighbours and their distance in Å.
Space group P4mm (No. 99)
Unique sites:
Y 0.0000 0.0000 0.0000  4 Hg 3.11, 1 Ag 3.16
Y 0.5000 0.5000 0.3298  4 Ag 3.09, 1 Hg 3.12
Ag 0.0000 0.0000 0.5379  5 Y 3.09-3.16, 4 Hg 3.23
Hg 0.5000 0.5000 0.7859  5 Y 3.11-3.12, 4 Ag 3.23

Properties
total DFT energy (no corrections)	-4.3022	eV/atom
formation energy from the elements	-0.2819	eV/atom
Fermi-level density of states	2.483	states/eV/cell

=====

YAg2Hg: optimized geometry, PBE-GGA.

abc: 4.6200 4.6200 8.0736
angles: 90.00 90.00 90.00
Last column: nearest neighbours and their distance in Å.
Space group I4/mmm (No. 139)
Unique sites:
Y 0.0000 0.0000 0.0000  8 Ag 3.07, 4 Hg 3.27
Ag 0.0000 0.5000 0.2500  4 Hg 3.07, 4 Y 3.07, 4 Ag 3.27
Hg 0.0000 0.0000 0.5000  8 Ag 3.07, 4 Y 3.27

Properties
total DFT energy (no corrections)	-3.3796	eV/atom
formation energy from the elements	-0.2625	eV/atom
Fermi-level density of states	3.991	states/eV/cell

=====

YAg6Hg2: optimized geometry, PBE-GGA.

abc: 14.5785 8.3181 3.2100
angles: 90.00 102.57 90.00
Last column: nearest neighbours and their distance in Å.
Space group C2/m (No. 12)
Unique sites:
Y 0.0000 0.0000 0.0000  12 Ag 3.15-3.27, 2 Y 3.21
Ag 0.0000 0.3260 0.5000  3 Ag 2.77-2.90, 4 Hg 3.04
Ag 0.1727 0.1710 0.6745  4 Ag 2.77-3.03, 1 Hg 2.89
Hg 0.1502 0.5000 0.1466  10 Ag 2.89-3.20, 2 Hg 3.21

Properties
total DFT energy (no corrections)	-2.6764	eV/atom
formation energy from the elements	0.0097	eV/atom
Fermi-level density of states	6.651	states/eV/cell